Record 1
The following is a PBE calculation of crystalline KRbBi at its relaxed geometry, from Alexandria via LeMat-Bulk.

Cell lengths 6.0668, 6.0668, 8.0475 Å; angles 90.00, 90.00, 120.00 degrees
Positions (direct):
K1 0.3333 0.6667 0.4439
K2 0.6667 0.3333 0.5561
Rb1 0.3333 0.6667 0.9192
Rb2 0.6667 0.3333 0.0808
Bi1 0.0000 0.0000 0.2983
Bi2 0.0000 0.0000 0.7017

Uncorrected energy   -13.8 eV per cell

Record 2
The following is a PBE calculation of crystalline K2Rb2Bi at its relaxed geometry, from Alexandria via LeMat-Bulk.

Cell lengths 8.2508, 10.8423, 6.7206 Å; angles 90.00, 90.00, 90.00 degrees
Positions (direct):
K1 0.1291 0.1776 0.0000
K2 0.3709 0.6776 0.0000
K3 0.6291 0.3224 0.0000
K4 0.8709 0.8224 0.0000
Rb1 0.2107 0.4127 0.5000
Rb2 0.2893 0.9127 0.5000
Rb3 0.7107 0.0873 0.5000
Rb4 0.7893 0.5873 0.5000
Bi1 0.0000 0.5000 0.0000
Bi2 0.5000 0.0000 0.0000

Uncorrected energy   -18.2 eV per cell

The evaluated polymorph energy (0 for the lowest one) for the records listed, in turn: 30.8 0.0 meV/atom.